1.
Compound: Sr2Pd17
Source: Alexandria via LeMat-Bulk
Functional: PBE-GGA
Structure: optimized geometry

The value obtained for the density of states at the Fermi level is 80.597 states/eV/cell. The calculation puts the formation energy at -3.965 eV per formula unit. The final energy is -286.8 eV/cell.

The structure belongs to space group R-3m (No. 166, hexagonal axes); the cell edges are 9.2757, 9.2757 and 13.5845 Å and the angles 90.00°, 90.00° and 120.00°. The inequivalent atoms are Sr at (0.0000, 0.0000, 0.1617), Pd at (0.0000, 0.0000, 0.4009), Pd at (0.0000, 0.2975, 0.5000), Pd at (0.0000, 0.5000, 0.0000) and Pd at (0.0017, 0.5009, 0.6544).

=====

2.
Compound: ScAlCo5P2
Source: Alexandria via LeMat-Bulk
Functional: PBE-GGA
Structure: optimized geometry

The value obtained for the density of states at the Fermi level is 5.808 states/eV/cell. The calculation puts the formation energy at -2.754 eV per formula unit. The final energy is -59.2 eV/cell.

The structure belongs to space group P4/mmm (No. 123); the cell edges are 3.7084, 3.7084 and 9.3542 Å and the angles 90.00°, 90.00° and 90.00°. The inequivalent atoms are Sc at (0.0000, 0.0000, 0.0000), Al at (0.0000, 0.0000, 0.5000), Co at (0.0000, 0.5000, 0.3390), Co at (0.5000, 0.5000, 0.0000) and P at (0.5000, 0.5000, 0.2249).

=====

3.
Compound: LiAc3Sb2O9
Source: Alexandria via LeMat-Bulk
Functional: PBE-GGA
Structure: optimized geometry

The value obtained for the density of states at the Fermi level is 1.477 states/eV/cell. The value obtained for the uncorrected formation energy is -2312 meV per atom. The final energy is -101.8 eV/cell.

The structure belongs to space group P-3m1 (No. 164); the cell edges are 5.8586, 5.8586 and 7.3003 Å and the angles 90.00°, 90.00° and 120.00°. The inequivalent atoms are Li at (0.0000, 0.0000, 0.0000), Ac at (0.0000, 0.0000, 0.5000), Ac at (0.3333, 0.6667, 0.1395), Sb at (0.3333, 0.6667, 0.6769), O at (0.0000, 0.5000, 0.5000) and O at (0.1697, 0.3394, 0.8409).

=====

4.
Compound: SrGaFeP
Source: Alexandria via LeMat-Bulk
Functional: PBE-GGA
Structure: optimized geometry

The value obtained for the density of states at the Fermi level is 4.430 states/eV/cell. The calculation puts the formation energy at -2.487 eV per formula unit. The final energy is -42.1 eV/cell.

The structure belongs to space group P4/nmm (No. 129, origin choice 2); the cell edges are 3.8184, 3.8184 and 11.2546 Å and the angles 90.00°, 90.00° and 90.00°. The inequivalent atoms are Sr at (0.2500, 0.2500, 0.2415), Ga at (0.2500, 0.7500, 0.5000), Fe at (0.2500, 0.7500, 0.0000) and P at (0.2500, 0.2500, 0.8999).

=====

5.
Compound: CdTePt
Source: Alexandria via LeMat-Bulk
Functional: PBE-GGA
Structure: optimized geometry

The value obtained for the density of states at the Fermi level is 2.897 states/eV/cell. The value obtained for the uncorrected formation energy is 5 meV per atom. The final energy is -20.2 eV/cell. The calculation puts the energy above the most stable polymorph in this dataset at 307 meV/atom.

The structure belongs to space group Imm2 (No. 44); the cell edges are 3.0077, 3.7012 and 11.8950 Å and the angles 90.00°, 90.00° and 90.00°. The inequivalent atoms are Cd at (0.0000, 0.0000, 0.0000), Te at (0.0000, 0.0000, 0.2831) and Pt at (0.0000, 0.0000, 0.6399).

=====

6.
Compound: Sr2AuSe
Source: Alexandria via LeMat-Bulk
Functional: PBE-GGA
Structure: optimized geometry

The value obtained for the density of states at the Fermi level is 4.312 states/eV/cell. The value obtained for the uncorrected formation energy is -532 meV per atom. The final energy is -49.0 eV/cell.

The structure belongs to space group F-43m (No. 216); the cell edges are 7.6762, 7.6762 and 7.6762 Å and the angles 90.00°, 90.00° and 90.00°. The inequivalent atoms are Sr at (0.0000, 0.0000, 0.0000), Sr at (0.2500, 0.2500, 0.2500), Au at (0.0000, 0.0000, 0.5000) and Se at (0.2500, 0.2500, 0.7500).

=====

7.
Compound: NaSn
Source: Alexandria via LeMat-Bulk
Functional: PBE-GGA
Structure: optimized geometry

The value obtained for the density of states at the Fermi level is 0.233 states/eV/cell. The calculation puts the formation energy at -0.378 eV per formula unit. The final energy is -5.7 eV/cell.

The structure belongs to space group P4/mmm (No. 123); the cell edges are 3.2077, 3.2077 and 5.0560 Å and the angles 90.00°, 90.00° and 90.00°. The inequivalent atoms are Na at (0.0000, 0.0000, 0.0000) and Sn at (0.5000, 0.5000, 0.5000).

=====

8.
Compound: LiTaAl
Source: Alexandria via LeMat-Bulk
Functional: PBE-GGA
Structure: optimized geometry

The value obtained for the density of states at the Fermi level is 2.735 states/eV/cell. The calculation puts the formation energy at 0.279 eV per formula unit. The final energy is -17.2 eV/cell. The calculation puts the energy above the most stable polymorph in this dataset at 133 meV/atom.

The structure belongs to space group P-6m2 (No. 187); the cell edges are 4.3238, 4.3238 and 2.9178 Å and the angles 90.00°, 90.00° and 120.00°. The inequivalent atoms are Li at (0.0000, 0.0000, 0.0000), Ta at (0.6667, 0.3333, 0.5000) and Al at (0.3333, 0.6667, 0.0000).

=====

9.
Compound: BaBeHgF6
Source: Alexandria via LeMat-Bulk
Functional: PBE-GGA
Structure: optimized geometry

The value obtained for the density of states at the Fermi level is 0.000 states/eV/cell. The value obtained for the uncorrected formation energy is -2720 meV per atom. The final energy is -41.7 eV/cell.

The structure belongs to space group P312 (No. 149); the cell edges are 5.5697, 5.5697 and 5.3556 Å and the angles 90.00°, 90.00° and 120.00°. The inequivalent atoms are Ba at (0.0000, 0.0000, 0.0000), Be at (0.6667, 0.3333, 0.5000), Hg at (0.3333, 0.6667, 0.5000) and F at (0.4056, 0.0688, 0.6963).

=====

10.
Compound: CeGeOs
Source: Alexandria via LeMat-Bulk
Functional: PBE-GGA
Structure: optimized geometry

The value obtained for the density of states at the Fermi level is 7.354 states/eV/cell. The calculation puts the formation energy at -1.578 eV per formula unit. The final energy is -93.4 eV/cell.

The structure belongs to space group Cmcm (No. 63); the cell edges are 3.7311, 10.7789 and 5.8449 Å and the angles 90.00°, 90.00° and 90.00°. The inequivalent atoms are Ce at (0.0000, 0.1751, 0.2500), Ge at (0.0000, 0.1054, 0.7500) and Os at (0.0000, 0.5000, 0.0000).

=====

11.
Compound: Nb3ReTe
Source: Alexandria via LeMat-Bulk
Functional: PBE-GGA
Structure: optimized geometry

The value obtained for the density of states at the Fermi level is 7.311 states/eV/cell. The value obtained for the uncorrected formation energy is 994 meV per atom. The final energy is -40.8 eV/cell. The calculation puts the energy above the most stable polymorph in this dataset at 0 meV/atom.

The structure belongs to space group Pm-3m (No. 221); the cell edges are 4.9152, 4.9152 and 4.9152 Å and the angles 90.00°, 90.00° and 90.00°. The inequivalent atoms are Nb at (0.0000, 0.0000, 0.5000), Re at (0.0000, 0.0000, 0.0000) and Te at (0.5000, 0.5000, 0.5000).

=====

12.
Compound: CsPm2CuCl8
Source: Alexandria via LeMat-Bulk
Functional: PBE-GGA
Structure: optimized geometry

The value obtained for the density of states at the Fermi level is 0.000 states/eV/cell. The value obtained for the uncorrected formation energy is -1943 meV per atom. The final energy is -52.5 eV/cell.

The structure belongs to space group P-1 (No. 2); the cell edges are 5.4107, 8.3156 and 8.5527 Å and the angles 97.08°, 100.28° and 101.61°. The inequivalent atoms are Cs at (0.0000, 0.0000, 0.0000), Pm at (0.4689, 0.7329, 0.4029), Cu at (0.0000, 0.5000, 0.0000), Cl at (0.0527, 0.2521, 0.6735), Cl at (0.2770, 0.3916, 0.3384), Cl at (0.3548, 0.6835, 0.0588) and Cl at (0.4385, 0.9428, 0.6753).

=====

Among the records above, which one has the highest final energy?
NaSn

=====

Which value of final energy does entry 4 give?
-42.1 eV/cell